First-principles (PBE+U) data for an optimized crystal structure of KLiH2WO5, as listed in Alexandria via LeMat-Bulk.

Values from the calculation:
The value obtained for the volume is 1120 Å³/cell. The density of states at the Fermi level comes out at 0.00 states/eV/atom. The total energy comes out at -59.60 eV/f.u.

The structure in POSCAR format:
```
KLiH2WO5
1.0
7.888 0.000 0.000
0.000 12.991 0.000
0.000 0.000 10.929
K Li H W O
8 8 16 8 40
Cartesian
1.536 1.691 2.137
1.536 4.804 7.602
2.408 8.187 2.137
2.408 11.300 7.602
5.480 1.691 3.327
5.480 4.804 8.792
6.352 8.187 3.327
6.352 11.300 8.792
0.096 2.305 10.182
0.096 4.190 4.718
3.847 8.801 10.182
3.847 10.686 4.718
4.040 2.305 6.211
4.040 4.190 0.747
7.791 8.801 6.211
7.791 10.686 0.747
1.292 6.884 4.878
1.292 12.603 10.343
1.929 1.757 5.209
1.929 4.739 10.674
2.014 8.252 5.209
2.014 11.234 10.674
2.652 0.388 4.878
2.652 6.107 10.343
5.236 6.884 0.586
5.236 12.603 6.051
5.873 1.757 0.255
5.873 4.739 5.720
5.958 8.252 0.255
5.958 11.234 5.720
6.595 0.388 0.586
6.595 6.107 6.051
0.514 8.115 9.482
0.514 11.372 4.017
3.429 1.619 9.482
3.429 4.876 4.017
4.458 8.115 6.912
4.458 11.372 1.447
7.373 1.619 6.912
7.373 4.876 1.447
0.219 0.038 7.342
0.219 6.457 1.878
0.525 2.514 5.697
0.525 3.982 0.232
0.642 9.150 7.990
0.642 10.337 2.525
1.130 7.863 4.937
1.130 11.623 10.401
1.771 1.317 10.194
1.771 5.179 4.730
2.173 7.812 10.194
2.173 11.674 4.730
2.814 1.368 4.937
2.814 5.128 10.401
3.301 2.654 7.990
3.301 3.841 2.525
3.419 9.009 5.697
3.419 10.477 0.232
3.724 6.534 7.342
3.724 12.953 1.878
4.163 0.038 9.051
4.163 6.457 3.587
4.469 2.514 10.697
4.469 3.982 5.232
4.586 9.150 8.404
4.586 10.337 2.939
5.074 7.863 0.528
5.074 11.623 5.992
5.715 1.317 6.199
5.715 5.179 0.735
6.117 7.812 6.199
6.117 11.674 0.735
6.758 1.368 0.528
6.758 5.128 5.992
7.245 2.654 8.404
7.245 3.841 2.939
7.363 9.009 10.697
7.363 10.477 5.232
7.668 6.534 9.051
7.668 12.953 3.587
```